# 1
! BaBe2Br, relaxed, DFT PBE; values from VASP
&SYSTEM
  ibrav = 0, nat = 4, ntyp = 3
/
ATOMIC_SPECIES
Ba 137.33 Ba.upf
Be 9.01 Be.upf
Br 79.90 Br.upf
ATOMIC_POSITIONS crystal
Ba 0.0000 0.0000 0.0000
Be 0.5000 0.5000 0.3326
Be 0.5000 0.5000 0.6674
Br 0.0000 0.0000 0.5000
CELL_PARAMETERS angstrom
4.2236 0.0000 0.0000
0.0000 4.2236 0.0000
0.0000 0.0000 6.3636
! **Formation energy without anion corrections**: 0.504 eV/atom
! **D(E_F)**: 0.6698 states/eV/atom
! **Calculated total energy**: -9.0 eV per cell
! **Distance to the lowest polymorph of the same formula**: 493 meV per atom
! **Total moment**: 0.00 μB per formula unit

***

# 2
! K3Y2PuS6, relaxed, DFT PBE; values from VASP
&SYSTEM
  ibrav = 0, nat = 12, ntyp = 4
/
ATOMIC_SPECIES
K 39.10 K.upf
Y 88.91 Y.upf
Pu 244.00 Pu.upf
S 32.06 S.upf
ATOMIC_POSITIONS crystal
K 0.0000 0.0000 0.0000
K 0.3332 0.6668 0.0000
K 0.6668 0.3332 0.0000
Y 0.1666 0.8334 0.5000
Y 0.8334 0.1666 0.5000
Pu 0.5000 0.5000 0.5000
S 0.0965 0.4328 0.2983
S 0.2310 0.2310 0.7019
S 0.4328 0.0965 0.2983
S 0.5672 0.9035 0.7017
S 0.7690 0.7690 0.2981
S 0.9035 0.5672 0.7017
CELL_PARAMETERS angstrom
3.5395 -6.1305 0.0000
3.5395 6.1305 0.0000
-2.3596 0.0000 7.3524
! **Formation energy without anion corrections**: -1.774 eV/atom
! **D(E_F)**: 1.0005 states/eV/atom
! **Calculated total energy**: -76.6 eV per cell
! **Total moment**: 5.00 μB per formula unit

***

# 3
! Tm4MgAg2, relaxed, DFT PBE; values from VASP
&SYSTEM
  ibrav = 0, nat = 7, ntyp = 3
/
ATOMIC_SPECIES
Tm 168.93 Tm.upf
Mg 24.30 Mg.upf
Ag 107.87 Ag.upf
ATOMIC_POSITIONS crystal
Tm 0.1144 0.1144 0.1144
Tm 0.3682 0.3682 0.3682
Tm 0.6318 0.6318 0.6318
Tm 0.8856 0.8856 0.8856
Mg 0.5000 0.5000 0.5000
Ag 0.2431 0.2431 0.2431
Ag 0.7569 0.7569 0.7569
CELL_PARAMETERS angstrom
2.5440 1.4688 8.0710
-2.5440 1.4688 8.0710
0.0000 -2.9376 8.0710
! **E_form**: -66 kJ/mol of formula units
! **D(E_F)**: 0.7454 states/eV/atom
! **Calculated total energy**: -25.9 eV per cell
! **Distance to the lowest polymorph of the same formula**: 0 meV per atom
! **Total moment**: 0.00 μB per formula unit

***

# 4
! KRbCd2, relaxed, DFT PBE; values from VASP
&SYSTEM
  ibrav = 0, nat = 8, ntyp = 3
/
ATOMIC_SPECIES
K 39.10 K.upf
Rb 85.47 Rb.upf
Cd 112.41 Cd.upf
ATOMIC_POSITIONS crystal
K 0.0000 0.0000 0.0000
K 0.7500 0.2500 0.5000
Rb 0.2500 0.7500 0.5000
Rb 0.5000 0.5000 0.0000
Cd 0.1154 0.6250 0.9904
Cd 0.3750 0.3654 0.4904
Cd 0.6346 0.1250 0.0096
Cd 0.8750 0.8846 0.5096
CELL_PARAMETERS angstrom
-4.9655 4.9655 3.6032
4.9655 -4.9655 3.6032
4.9655 4.9655 -3.6032
! **E_form**: 44 kJ/mol of formula units
! **D(E_F)**: 0.7740 states/eV/atom
! **Calculated total energy**: -6.9 eV per cell
! **Distance to the lowest polymorph of the same formula**: 174 meV per atom
! **Total moment**: 0.00 μB per formula unit

***

# 5
! YCO2F, relaxed, DFT PBE; values from VASP
&SYSTEM
  ibrav = 0, nat = 5, ntyp = 4
/
ATOMIC_SPECIES
Y 88.91 Y.upf
C 12.01 C.upf
O 16.00 O.upf
F 19.00 F.upf
ATOMIC_POSITIONS crystal
Y 0.0000 0.0000 0.0000
C 0.5000 0.5000 0.5000
O 0.0000 0.5000 0.5000
O 0.5000 0.0000 0.5000
F 0.5000 0.5000 0.0000
CELL_PARAMETERS angstrom
3.7077 0.0000 0.0000
0.0000 3.7077 0.0000
0.0000 0.0000 3.5949
! **Formation energy without anion corrections**: -0.936 eV/atom
! **D(E_F)**: 0.0701 states/eV/atom
! **Calculated total energy**: -32.2 eV per cell
! **Total moment**: 0.00 μB per formula unit

***

# 6
! LiSbMoI2, relaxed, DFT PBE; values from VASP
&SYSTEM
  ibrav = 0, nat = 5, ntyp = 4
/
ATOMIC_SPECIES
Li 6.94 Li.upf
Sb 121.76 Sb.upf
Mo 95.94 Mo.upf
I 126.90 I.upf
ATOMIC_POSITIONS crystal
Li 0.0000 0.0000 0.0000
Sb 0.0000 0.0000 0.5000
Mo 0.5000 0.5000 0.5000
I 0.0000 0.5000 0.0000
I 0.5000 0.0000 0.0000
CELL_PARAMETERS angstrom
5.2873 0.0000 0.0000
0.0000 5.2873 0.0000
0.0000 0.0000 5.2602
! **Formation energy without anion corrections**: 0.798 eV/atom
! **D(E_F)**: 0.7202 states/eV/atom
! **Calculated total energy**: -16.0 eV per cell
! **Distance to the lowest polymorph of the same formula**: 574 meV per atom
! **Total moment**: 3.85 μB per formula unit

***

# 7
! KIrS2N, relaxed, DFT PBE; values from VASP
&SYSTEM
  ibrav = 0, nat = 5, ntyp = 4
/
ATOMIC_SPECIES
K 39.10 K.upf
Ir 192.22 Ir.upf
S 32.06 S.upf
N 14.01 N.upf
ATOMIC_POSITIONS crystal
K 0.0000 0.0000 0.0000
Ir 0.5000 0.5000 0.5000
S 0.0000 0.5000 0.5000
S 0.5000 0.0000 0.5000
N 0.5000 0.5000 0.0000
CELL_PARAMETERS angstrom
5.0850 0.0000 0.0000
0.0000 5.0850 0.0000
0.0000 0.0000 3.7050
! **Formation energy without anion corrections**: 0.098 eV/atom
! **D(E_F)**: 0.9910 states/eV/atom
! **Calculated total energy**: -26.0 eV per cell
! **Distance to the lowest polymorph of the same formula**: 0 meV per atom
! **Total moment**: 0.58 μB per formula unit

***

# 8
! Pa2AlPb, relaxed, DFT PBE; values from VASP
&SYSTEM
  ibrav = 0, nat = 4, ntyp = 3
/
ATOMIC_SPECIES
Pa 231.04 Pa.upf
Al 26.98 Al.upf
Pb 207.20 Pb.upf
ATOMIC_POSITIONS crystal
Pa 0.0000 0.0000 0.2269
Pa 0.0000 0.0000 0.7731
Al 0.5000 0.5000 0.0000
Pb 0.5000 0.5000 0.5000
CELL_PARAMETERS angstrom
3.2776 0.0000 0.0000
0.0000 3.2776 0.0000
0.0000 0.0000 9.1156
! **E_form**: 3 kJ/mol of formula units
! **D(E_F)**: 1.9711 states/eV/atom
! **Calculated total energy**: -26.4 eV per cell
! **Distance to the lowest polymorph of the same formula**: 0 meV per atom
! **Total moment**: 1.67 μB per formula unit